*a*
Density functional theory data (PBEsol) for a relaxed BaScBr crystal.

Its mass density is 4.9 g cm⁻³. For the spin magnetization, the calculation gives 2.7 Bohr magnetons per cell.

The structure belongs to space group I4mm (No. 107); the cell edges are 3.6052, 3.6052 and 13.7188 Å and the angles 90.00°, 90.00° and 90.00°. Symmetry generates all atoms from Ba at (0.0000, 0.0000, 0.0000), Sc at (0.0000, 0.0000, 0.2977) and Br at (0.0000, 0.0000, 0.6816).

*b*
Density functional theory data (PBEsol) for a relaxed BaScBr crystal.

Its mass density is 4.3 g cm⁻³. For the spin magnetization, the calculation gives 7.8 Bohr magnetons per cell.

The structure belongs to space group F-43m (No. 216); the cell edges are 7.4002, 7.4002 and 7.4002 Å and the angles 90.00°, 90.00° and 90.00°. Symmetry generates all atoms from Ba at (0.0000, 0.0000, 0.0000), Sc at (0.0000, 0.0000, 0.5000) and Br at (0.2500, 0.2500, 0.2500).

Which is the most stable structure? *a* is the most stable.

*a*
Density functional theory data (PBEsol) for a relaxed BaScBr2 crystal.

Its mass density is 5.0 g cm⁻³. For the spin magnetization, the calculation gives 0.0 Bohr magnetons per cell.

The structure belongs to space group Pmmm (No. 47); the cell edges are 3.8576, 4.3409 and 6.8226 Å and the angles 90.00°, 90.00° and 90.00°. Symmetry generates all atoms from Ba at (0.0000, 0.0000, 0.0000), Sc at (0.5000, 0.0000, 0.5000) and Br at (0.5000, 0.5000, 0.2470).

*b*
Density functional theory data (PBEsol) for a relaxed BaScBr2 crystal.

Its mass density is 4.9 g cm⁻³. For the spin magnetization, the calculation gives 0.0 Bohr magnetons per cell.

The structure belongs to space group Cmmm (No. 65); the cell edges are 3.6921, 6.7151 and 9.4340 Å and the angles 90.00°, 90.00° and 90.00°. Symmetry generates all atoms from Ba at (0.0000, 0.0000, 0.0000), Sc at (0.0000, 0.0000, 0.5000) and Br at (0.0000, 0.5000, 0.2837).

Which is the most stable structure? *a* is the most stable.

*a*
Density functional theory data (PBEsol) for a relaxed BaSeBr2 crystal.

Its mass density is 4.9 g cm⁻³. For the spin magnetization, the calculation gives 0.0 Bohr magnetons per cell.

The structure belongs to space group Imm2 (No. 44); the cell edges are 4.2134, 4.3299 and 13.9309 Å and the angles 90.00°, 90.00° and 90.00°. Symmetry generates all atoms from Ba at (0.0000, 0.0000, 0.0000), Se at (0.0000, 0.5000, 0.3214), Br at (0.0000, 0.0000, 0.5807) and Br at (0.0000, 0.5000, 0.8223).

*b*
Density functional theory data (PBEsol) for a relaxed BaSeBr2 crystal.

Its mass density is 5.3 g cm⁻³. For the spin magnetization, the calculation gives 8.0 Bohr magnetons per cell.

The structure belongs to space group Fm-3m (No. 225); the cell edges are 7.7931, 7.7931 and 7.7931 Å and the angles 90.00°, 90.00° and 90.00°. Symmetry generates all atoms from Ba at (0.0000, 0.0000, 0.0000), Se at (0.0000, 0.0000, 0.5000) and Br at (0.2500, 0.2500, 0.2500).

Which is the most stable structure? *a* is the most stable.

*a*
Density functional theory data (PBEsol) for a relaxed BaTl2Br crystal.

Its mass density is 7.7 g cm⁻³. For the spin magnetization, the calculation gives 0.0 Bohr magnetons per cell.

The structure belongs to space group Cmmm (No. 65); the cell edges are 6.3771, 10.8996 and 3.8827 Å and the angles 90.00°, 90.00° and 90.00°. Symmetry generates all atoms from Ba at (0.0000, 0.0000, 0.0000), Tl at (0.2500, 0.2500, 0.5000) and Br at (0.0000, 0.5000, 0.0000).

*b*
Density functional theory data (PBEsol) for a relaxed BaTl2Br crystal.

Its mass density is 7.8 g cm⁻³. For the spin magnetization, the calculation gives 0.0 Bohr magnetons per cell.

The structure belongs to space group P4/mmm (No. 123); the cell edges are 4.5003, 4.5003 and 6.5908 Å and the angles 90.00°, 90.00° and 90.00°. Symmetry generates all atoms from Ba at (0.0000, 0.0000, 0.0000), Tl at (0.0000, 0.5000, 0.5000) and Br at (0.5000, 0.5000, 0.0000).

Which is the most stable structure? *b* is the most stable.

*a*
Density functional theory data (PBEsol) for a relaxed BaWBr crystal.

Its mass density is 9.4 g cm⁻³. For the spin magnetization, the calculation gives 0.9 Bohr magnetons per cell.

The structure belongs to space group I4mm (No. 107); the cell edges are 3.2697, 3.2697 and 13.2403 Å and the angles 90.00°, 90.00° and 90.00°. Symmetry generates all atoms from Ba at (0.0000, 0.0000, 0.0000), W at (0.0000, 0.0000, 0.3063) and Br at (0.0000, 0.0000, 0.7058).

*b*
Density functional theory data (PBEsol) for a relaxed BaWBr crystal.

Its mass density is 5.9 g cm⁻³. For the spin magnetization, the calculation gives 20.0 Bohr magnetons per cell.

The structure belongs to space group F-43m (No. 216); the cell edges are 7.6509, 7.6509 and 7.6509 Å and the angles 90.00°, 90.00° and 90.00°. Symmetry generates all atoms from Ba at (0.0000, 0.0000, 0.0000), W at (0.2500, 0.2500, 0.2500) and Br at (0.0000, 0.0000, 0.5000).

Which is the most stable structure? *a* is the most stable.

*a*
Density functional theory data (PBEsol) for a relaxed BaW2Br crystal.

Its mass density is 12.4 g cm⁻³. For the spin magnetization, the calculation gives 0.0 Bohr magnetons per cell.

The structure belongs to space group Fm-3m (No. 225); the cell edges are 6.7981, 6.7981 and 6.7981 Å and the angles 90.00°, 90.00° and 90.00°. Symmetry generates all atoms from Ba at (0.0000, 0.0000, 0.0000), W at (0.2500, 0.2500, 0.2500) and Br at (0.0000, 0.0000, 0.5000).

*b*
Density functional theory data (PBEsol) for a relaxed BaW2Br crystal.

Its mass density is 10.2 g cm⁻³. For the spin magnetization, the calculation gives 0.0 Bohr magnetons per cell.

The structure belongs to space group Cm (No. 8); the cell edges are 5.9688, 3.3740 and 9.8481 Å and the angles 90.00°, 106.50° and 90.00°. Symmetry generates all atoms from Ba at (0.0000, 0.0000, 0.0000), W at (0.1911, 0.0000, 0.6846), W at (0.4424, 0.0000, 0.5211) and Br at (0.3001, 0.5000, 0.2782).

Which is the most stable structure? *b* is the most stable.